Record 1
Y3Ag3PtO8 PBE optimized geometry; total DFT energy (no corrections) = -6.6699 eV per atom
1.0
-4.135 -0.737 -5.345
-1.261 -3.373 5.764
-0.970 6.893 -0.200
O Ag Y Pt
8 3 3 1
Direct
0.272 0.545 0.318
0.762 0.978 0.692
0.728 0.455 0.682
0.215 0.978 0.692
0.785 0.022 0.308
0.215 0.430 0.692
0.238 0.022 0.308
0.785 0.570 0.308
0.000 0.500 0.000
0.000 0.000 0.000
0.500 0.500 0.000
0.500 0.000 0.500
0.500 0.500 0.500
0.000 0.500 0.500
0.000 0.000 0.500

Record 2
Na2Hf3S6 PBE optimized geometry; total DFT energy (no corrections) = -6.7399 eV per atom; Fermi-level density of states = 4.92 states/eV/cell
1.0
6.010 0.000 1.789
3.005 5.431 0.895
0.025 0.000 7.234
S Hf Na
6 3 2
Direct
0.073 0.332 0.783
0.594 0.332 0.217
0.927 0.668 0.217
0.738 0.000 0.783
0.406 0.668 0.783
0.262 0.000 0.217
0.000 0.000 0.000
0.333 0.333 0.000
0.667 0.667 0.000
0.833 0.334 0.500
0.167 0.666 0.500

Record 3
Be2GaCo5Tc2 PBE optimized geometry; formation energy = -72 meV per atom; Fermi-level density of states = 15.14 states/eV/cell
1.0
2.821 0.000 0.000
0.000 8.798 0.000
0.000 0.000 8.798
Tc Co Ga Be
4 10 2 4
Direct
0.000 0.177 0.323
0.000 0.823 0.677
0.000 0.323 0.823
0.000 0.677 0.177
0.500 0.000 0.500
0.500 0.939 0.211
0.500 0.439 0.289
0.500 0.211 0.061
0.500 0.711 0.439
0.500 0.061 0.789
0.500 0.500 0.000
0.500 0.561 0.711
0.500 0.289 0.561
0.500 0.789 0.939
0.000 0.500 0.500
0.000 0.000 0.000
0.000 0.123 0.623
0.000 0.877 0.377
0.000 0.377 0.123
0.000 0.623 0.877

Record 4
BaMgGa2Si PBE optimized geometry; total DFT energy (no corrections) = -3.3408 eV per atom; Fermi-level density of states = 1.57 states/eV/cell
1.0
-2.889 0.859 3.488
-3.607 -0.696 -2.817
3.250 -5.440 0.986
Ga Ba Si Mg
2 1 1 1
Direct
0.692 0.192 0.385
0.058 0.058 0.116
0.440 0.440 0.880
0.828 0.828 0.656
0.194 0.694 0.387

Record 5
ReTcNF2 PBE optimized geometry; total DFT energy (no corrections) = -6.4291 eV per atom; Fermi-level density of states = 2.85 states/eV/cell
1.0
-0.133 -0.240 4.236
3.902 -1.673 0.028
1.515 3.538 0.248
Tc F Re N
1 2 1 1
Direct
0.000 0.000 0.000
0.000 0.500 0.000
0.500 0.000 0.000
0.500 0.500 0.500
0.000 0.000 0.500

Record 6
PrTh2Os PBE optimized geometry; formation energy = -6 meV per atom; Fermi-level density of states = 7.73 states/eV/cell
1.0
-1.631 3.110 0.997
-0.909 -1.503 3.200
7.356 2.771 3.390
Pr Th Os
1 2 1
Direct
0.500 0.500 0.500
0.000 0.000 0.808
0.000 0.000 0.192
0.500 0.500 0.000

Record 7
Ba5InHg PBE optimized geometry; formation energy = -166 meV per atom; Fermi-level density of states = 17.63 states/eV/cell
1.0
7.009 -0.214 -0.269
2.021 6.715 -0.269
3.053 2.198 14.132
Ba Hg In
10 2 2
Direct
0.517 0.211 0.079
0.211 0.517 0.579
0.085 0.430 0.866
0.570 0.915 0.634
0.987 0.013 0.750
0.430 0.085 0.366
0.013 0.987 0.250
0.789 0.483 0.421
0.915 0.570 0.134
0.483 0.789 0.921
0.000 0.000 0.000
0.000 0.000 0.500
0.424 0.576 0.250
0.576 0.424 0.750

Record 8
BaNa3Cd2 PBE optimized geometry; formation energy = -115 meV per atom; Fermi-level density of states = 7.41 states/eV/cell
1.0
-1.322 -5.161 -1.284
0.056 0.737 8.673
-8.322 3.328 -4.807
Ba Na Cd
2 6 4
Direct
0.859 0.719 0.973
0.141 0.281 0.027
0.941 0.883 0.616
0.586 0.173 0.705
0.059 0.117 0.384
0.294 0.587 0.474
0.706 0.413 0.526
0.414 0.827 0.295
0.562 0.125 0.171
0.221 0.442 0.739
0.438 0.875 0.829
0.779 0.558 0.261